Entry 1
# Ta2HPt

Crystalline Ta2HPt at its relaxed geometry (PBE-GGA, the Alexandria database). Values from VASP.

Geometry as Quantum ESPRESSO input:
```
&SYSTEM
  ibrav = 0, nat = 4, ntyp = 3
/
ATOMIC_SPECIES
H 1.01 H.upf
Ta 180.95 Ta.upf
Pt 195.08 Pt.upf
CELL_PARAMETERS angstrom
2.933 0.000 0.000
1.467 2.540 0.000
1.467 0.847 7.196
ATOMIC_POSITIONS crystal
H 0.667 0.667 0.998
Ta 0.062 0.062 0.815
Pt 0.499 0.499 0.502
Ta 0.272 0.272 0.185
```

Calculated values
Total magnetic moment (μB/f.u.): 0.00
SG: R3m, No. 160



Entry 2
# Ta2HPt

Crystalline Ta2HPt at its relaxed geometry (PBE-GGA, the Alexandria database). Values from VASP.

Geometry as Quantum ESPRESSO input:
```
&SYSTEM
  ibrav = 0, nat = 4, ntyp = 3
/
ATOMIC_SPECIES
Ta 180.95 Ta.upf
H 1.01 H.upf
Pt 195.08 Pt.upf
CELL_PARAMETERS angstrom
2.925 0.000 0.000
1.462 2.533 0.000
1.462 0.844 7.239
ATOMIC_POSITIONS crystal
Ta 0.728 0.728 0.815
H 0.000 0.000 0.000
Pt 0.500 0.500 0.500
Ta 0.272 0.272 0.185
```

Calculated values
Total magnetic moment (μB/f.u.): 0.00
SG: R-3m, No. 166



Entry 3
# Ta2HPt

Crystalline Ta2HPt at its relaxed geometry (PBE-GGA, the Alexandria database). Values from VASP.

Geometry as Quantum ESPRESSO input:
```
&SYSTEM
  ibrav = 0, nat = 8, ntyp = 3
/
ATOMIC_SPECIES
Pt 195.08 Pt.upf
Ta 180.95 Ta.upf
H 1.01 H.upf
CELL_PARAMETERS angstrom
-0.476 -4.651 -1.393
1.656 1.160 -4.440
5.629 -2.746 -1.299
ATOMIC_POSITIONS crystal
Pt 0.750 0.250 0.500
Pt 0.000 0.000 0.000
Ta 0.875 0.738 0.750
H 0.250 0.750 0.500
Ta 0.262 0.625 0.250
H 0.500 0.500 0.000
Ta 0.375 0.512 0.750
Ta 0.488 0.125 0.250
```

Calculated values
Total magnetic moment (μB/f.u.): 0.00
SG: I-42d, No. 122



Entry 4
# Ta2HPt

Crystalline Ta2HPt at its relaxed geometry (PBE-GGA, the Alexandria database). Values from VASP.

Geometry as Quantum ESPRESSO input:
```
&SYSTEM
  ibrav = 0, nat = 4, ntyp = 3
/
ATOMIC_SPECIES
Pt 195.08 Pt.upf
Ta 180.95 Ta.upf
H 1.01 H.upf
CELL_PARAMETERS angstrom
1.042 -3.910 -1.737
1.578 -3.204 2.576
-2.475 -3.533 0.886
ATOMIC_POSITIONS crystal
Pt 0.500 0.500 0.500
Ta 0.250 0.250 0.250
Ta 0.750 0.750 0.750
H 0.000 0.000 0.000
```

Calculated values
Total magnetic moment (μB/f.u.): 0.00
SG: Fm-3m, No. 225



The most stable arrangement is entry 1, and the next structure is 7 meV/atom less stable.



Entry 1
# TaH2Pt2

Crystalline TaH2Pt2 at its relaxed geometry (PBE-GGA, the Alexandria database). Values from VASP.

Geometry as Quantum ESPRESSO input:
```
&SYSTEM
  ibrav = 0, nat = 5, ntyp = 3
/
ATOMIC_SPECIES
Ta 180.95 Ta.upf
Pt 195.08 Pt.upf
H 1.01 H.upf
CELL_PARAMETERS angstrom
-0.328 -0.728 3.471
-3.145 -1.551 -0.623
0.258 -4.938 0.815
ATOMIC_POSITIONS crystal
Ta 0.000 0.000 0.000
Pt 0.661 0.661 0.677
H 0.750 0.250 0.500
H 0.250 0.750 0.500
Pt 0.339 0.339 0.323
```

Calculated values
Total magnetic moment (μB/f.u.): 0.00
SG: I4/mmm, No. 139



Entry 2
# TaH2Pt2

Crystalline TaH2Pt2 at its relaxed geometry (PBE-GGA, the Alexandria database). Values from VASP.

Geometry as Quantum ESPRESSO input:
```
&SYSTEM
  ibrav = 0, nat = 10, ntyp = 3
/
ATOMIC_SPECIES
Pt 195.08 Pt.upf
Ta 180.95 Ta.upf
H 1.01 H.upf
CELL_PARAMETERS angstrom
-6.271 -1.429 -1.266
1.384 -0.406 -6.394
0.560 -2.718 0.294
ATOMIC_POSITIONS crystal
Pt 0.157 0.657 0.500
Ta 0.000 0.000 0.000
Ta 0.500 0.500 0.000
Pt 0.343 0.157 0.500
Pt 0.657 0.843 0.500
H 0.225 0.275 0.000
H 0.775 0.725 0.000
H 0.725 0.225 0.000
Pt 0.843 0.343 0.500
H 0.275 0.775 0.000
```

Calculated values
Total magnetic moment (μB/f.u.): 0.00
SG: P4/mbm, No. 127



The most stable arrangement is entry 1, and the next structure is 68 meV/atom less stable.



Entry 1
# TaHPt

Crystalline TaHPt at its relaxed geometry (PBE-GGA, the Alexandria database). Values from VASP.

Geometry as Quantum ESPRESSO input:
```
&SYSTEM
  ibrav = 0, nat = 6, ntyp = 3
/
ATOMIC_SPECIES
Ta 180.95 Ta.upf
H 1.01 H.upf
Pt 195.08 Pt.upf
CELL_PARAMETERS angstrom
2.850 -0.001 0.389
-0.039 6.152 0.305
-0.564 -2.256 4.133
ATOMIC_POSITIONS crystal
Ta 0.250 0.771 0.510
H 0.250 0.996 0.327
Pt 0.750 0.675 0.931
H 0.750 0.004 0.673
Pt 0.250 0.325 0.069
Ta 0.750 0.229 0.490
```

Calculated values
Total magnetic moment (μB/f.u.): 0.00
SG: P2_1/m, No. 11



Entry 2
# TaHPt

Crystalline TaHPt at its relaxed geometry (PBE-GGA, the Alexandria database). Values from VASP.

Geometry as Quantum ESPRESSO input:
```
&SYSTEM
  ibrav = 0, nat = 6, ntyp = 3
/
ATOMIC_SPECIES
Ta 180.95 Ta.upf
H 1.01 H.upf
Pt 195.08 Pt.upf
CELL_PARAMETERS angstrom
2.823 -0.414 -0.486
0.766 4.420 0.674
0.047 3.194 6.194
ATOMIC_POSITIONS crystal
Ta 0.332 0.613 0.753
H 0.416 0.842 0.922
Pt 0.608 0.020 0.305
Pt 0.751 0.268 0.591
H 0.944 0.447 0.974
Ta 0.027 0.676 0.144
```

Calculated values
Total magnetic moment (μB/f.u.): 0.00
SG: C2/m, No. 12



Entry 3
# TaHPt

Crystalline TaHPt at its relaxed geometry (PBE-GGA, the Alexandria database). Values from VASP.

Geometry as Quantum ESPRESSO input:
```
&SYSTEM
  ibrav = 0, nat = 6, ntyp = 3
/
ATOMIC_SPECIES
Pt 195.08 Pt.upf
Ta 180.95 Ta.upf
H 1.01 H.upf
CELL_PARAMETERS angstrom
-2.136 0.310 -2.008
-1.990 -0.912 1.975
-1.168 7.865 2.456
ATOMIC_POSITIONS crystal
Pt 0.814 0.866 0.546
Ta 0.814 0.867 0.077
H 0.814 0.367 0.920
H 0.314 0.866 0.920
Pt 0.314 0.367 0.293
Ta 0.313 0.366 0.762
```

Calculated values
Total magnetic moment (μB/f.u.): 0.00
SG: P4/nmm, No. 129



Entry 4
# TaHPt

Crystalline TaHPt at its relaxed geometry (PBE-GGA, the Alexandria database). Values from VASP.

Geometry as Quantum ESPRESSO input:
```
&SYSTEM
  ibrav = 0, nat = 3, ntyp = 3
/
ATOMIC_SPECIES
Pt 195.08 Pt.upf
H 1.01 H.upf
Ta 180.95 Ta.upf
CELL_PARAMETERS angstrom
-0.757 3.053 3.121
-2.274 -1.741 1.152
2.886 -0.346 1.039
ATOMIC_POSITIONS crystal
Pt 0.637 0.667 0.333
H 0.248 0.333 0.667
Ta 0.115 0.000 0.000
```

Calculated values
Total magnetic moment (μB/f.u.): 0.00
SG: P3m1, No. 156



The most stable arrangement is entry 2, and the next structure is 36 meV/atom less stable.



Entry 1
# Ta2TcHPt

Crystalline Ta2TcHPt at its relaxed geometry (PBE-GGA, the Alexandria database). Values from VASP.

Geometry as Quantum ESPRESSO input:
```
&SYSTEM
  ibrav = 0, nat = 5, ntyp = 4
/
ATOMIC_SPECIES
H 1.01 H.upf
Pt 195.08 Pt.upf
Tc 98.00 Tc.upf
Ta 180.95 Ta.upf
CELL_PARAMETERS angstrom
-2.891 -1.352 2.706
1.055 -3.959 -0.850
2.625 0.088 2.848
ATOMIC_POSITIONS crystal
H 0.000 0.000 0.000
Pt 0.000 0.000 0.500
Tc 0.500 0.500 0.500
Ta 0.000 0.500 0.000
Ta 0.500 0.000 0.000
```

Calculated values
Total magnetic moment (μB/f.u.): 0.00
SG: P4/mmm, No. 123



Entry 2
# Ta2TcHPt

Crystalline Ta2TcHPt at its relaxed geometry (PBE-GGA, the Alexandria database). Values from VASP.

Geometry as Quantum ESPRESSO input:
```
&SYSTEM
  ibrav = 0, nat = 5, ntyp = 4
/
ATOMIC_SPECIES
Ta 180.95 Ta.upf
Tc 98.00 Tc.upf
Pt 195.08 Pt.upf
H 1.01 H.upf
CELL_PARAMETERS angstrom
4.180 0.000 0.000
0.000 4.180 0.000
0.000 0.000 3.866
ATOMIC_POSITIONS crystal
Ta 0.500 0.000 0.000
Tc 0.000 0.000 0.500
Ta 0.000 0.500 0.000
Pt 0.500 0.500 0.500
H 0.000 0.000 0.000
```

Calculated values
Total magnetic moment (μB/f.u.): 0.00
SG: P4/mmm, No. 123



The most stable arrangement is entry 2, and the next structure is 80 meV/atom less stable.



Entry 1
# TaTi2HPt

Crystalline TaTi2HPt at its relaxed geometry (PBE-GGA, the Alexandria database). Values from VASP.

Geometry as Quantum ESPRESSO input:
```
&SYSTEM
  ibrav = 0, nat = 5, ntyp = 4
/
ATOMIC_SPECIES
Ti 47.87 Ti.upf
Ta 180.95 Ta.upf
Pt 195.08 Pt.upf
H 1.01 H.upf
CELL_PARAMETERS angstrom
-2.270 0.542 -3.633
-2.179 -2.772 0.948
-2.618 2.757 2.047
ATOMIC_POSITIONS crystal
Ti 0.000 0.000 0.500
Ta 0.500 0.500 0.500
Pt 0.000 0.500 0.000
Ti 0.500 0.000 0.000
H 0.000 0.000 0.000
```

Calculated values
Total magnetic moment (μB/f.u.): 0.00
SG: P4/mmm, No. 123



Entry 2
# TaTi2HPt

Crystalline TaTi2HPt at its relaxed geometry (PBE-GGA, the Alexandria database). Values from VASP.

Geometry as Quantum ESPRESSO input:
```
&SYSTEM
  ibrav = 0, nat = 5, ntyp = 4
/
ATOMIC_SPECIES
H 1.01 H.upf
Ta 180.95 Ta.upf
Pt 195.08 Pt.upf
Ti 47.87 Ti.upf
CELL_PARAMETERS angstrom
4.088 0.000 0.000
0.000 4.088 0.000
0.000 0.000 4.058
ATOMIC_POSITIONS crystal
H 0.000 0.000 0.000
Ta 0.000 0.000 0.500
Pt 0.500 0.500 0.500
Ti 0.000 0.500 0.000
Ti 0.500 0.000 0.000
```

Calculated values
Total magnetic moment (μB/f.u.): 0.00
SG: P4/mmm, No. 123



The most stable arrangement is entry 2, and the next structure is 79 meV/atom less stable.